No. 1
A plane-wave DFT calculation with PBE-GGA was carried out for an optimized crystal structure of Pm2HoHg.

a b c (Å): 3.7041 12.5519 10.3978
angles (deg): 90.00 90.00 90.00
Last column: nearest neighbours and their distance in Å.
Space group Cmcm (No. 63)
Asymmetric unit:
Pm  0.0000  0.1300  0.0412 (multiplicity 8)  3 Hg 3.20-3.40, 1 Pm 3.37
Ho  0.0000  0.4521  0.2500 (multiplicity 4)  2 Hg 3.18
Hg  0.0000  0.2539  0.7500 (multiplicity 4)  2 Ho 3.18, 6 Pm 3.20-3.40

Calculated values
E_form, meV per atom: -223.9
Distance to the lowest polymorph of the same formula, meV/atom: 4.4
Crystal system: orthorhombic

***

No. 2
A plane-wave DFT calculation with PBE-GGA was carried out for an optimized crystal structure of PmHoHg4.

a b c (Å): 10.7971 3.8904 7.8200
angles (deg): 90.00 110.65 90.00
Last column: nearest neighbours and their distance in Å.
Space group C2/m (No. 12)
Asymmetric unit:
Pm  0.0000  0.0000  0.0000 (multiplicity 2)  10 Hg 3.26-3.36
Ho  0.0000  0.0000  0.5000 (multiplicity 2)  10 Hg 3.19-3.35
Hg  0.1675  0.5000  0.8254 (multiplicity 4)  5 Hg 3.20-3.39, 2 Ho 3.21, 3 Pm 3.26-3.36
Hg  0.1683  0.5000  0.3416 (multiplicity 4)  5 Hg 3.15-3.39, 3 Ho 3.19-3.35, 2 Pm 3.29

Calculated values
E_form, meV per atom: -346.3
Distance to the lowest polymorph of the same formula, meV/atom: 0.0
Crystal system: monoclinic

***

No. 3
A plane-wave DFT calculation with PBE-GGA was carried out for an optimized crystal structure of Pm4Ho2Hg.

a b c (Å): 16.5710 3.5716 8.5677
angles (deg): 90.00 117.57 90.00
Last column: nearest neighbours and their distance in Å.
Space group C2/m (No. 12)
Asymmetric unit:
Pm  0.0836  0.0000  0.2034 (multiplicity 4)  5 Pm 3.30-3.61, 3 Ho 3.33-3.45, 1 Hg 3.41
Pm  0.1296  0.5000  0.8868 (multiplicity 4)  2 Hg 3.49, 3 Ho 3.55-3.67, 6 Pm 3.57-3.71
Ho  0.2156  0.0000  0.6379 (multiplicity 4)  1 Hg 3.20, 5 Pm 3.33-3.55, 4 Ho 3.55-3.57
Hg  0.0000  0.0000  0.5000 (multiplicity 2)  2 Ho 3.20, 6 Pm 3.41-3.49, 2 Hg 3.57

Calculated values
E_form, meV per atom: -12.5
Crystal system: monoclinic

***

No. 4
A plane-wave DFT calculation with PBE-GGA was carried out for an optimized crystal structure of Pm2HoHg.

a b c (Å): 3.6877 3.6877 32.0806
angles (deg): 90.00 90.00 120.00
Last column: nearest neighbours and their distance in Å.
Space group R3m (No. 160, hexagonal axes)
Asymmetric unit:
Pm  0.0000  0.0000  0.0000 (multiplicity 3)  3 Hg 3.27, 3 Ho 3.56
Pm  0.0000  0.0000  0.1785 (multiplicity 3)  3 Hg 3.27, 3 Ho 3.57
Ho  0.0000  0.0000  0.4224 (multiplicity 3)  6 Pm 3.56-3.57, 6 Ho 3.69
Hg  0.0000  0.0000  0.5893 (multiplicity 3)  6 Pm 3.27

Calculated values
E_form, meV per atom: -137.6
Distance to the lowest polymorph of the same formula, meV/atom: 90.7
Crystal system: trigonal

***

No. 5
A plane-wave DFT calculation with PBE-GGA was carried out for an optimized crystal structure of Pm4HoHg.

a b c (Å): 3.6640 3.6640 14.1413
angles (deg): 90.00 90.00 90.00
Last column: nearest neighbours and their distance in Å.
Space group P4/mmm (No. 123)
Asymmetric unit:
Pm  0.0000  0.0000  0.1444 (multiplicity 2)  4 Hg 3.30, 8 Pm 3.63-3.66
Pm  0.5000  0.5000  0.3243 (multiplicity 2)  4 Ho 3.59, 8 Pm 3.63-3.66
Ho  0.0000  0.0000  0.5000 (multiplicity 1)  8 Pm 3.59, 4 Ho 3.66
Hg  0.5000  0.5000  0.0000 (multiplicity 1)  8 Pm 3.30, 4 Hg 3.66

Calculated values
E_form, meV per atom: -145.5
Distance to the lowest polymorph of the same formula, meV/atom: 0.0
Crystal system: tetragonal

***

No. 6
A plane-wave DFT calculation with PBE-GGA was carried out for an optimized crystal structure of Pm2HoHg4.

a b c (Å): 5.1398 5.1398 26.7379
angles (deg): 90.00 90.00 120.00
Last column: nearest neighbours and their distance in Å.
Space group R-3m (No. 166, hexagonal axes)
Asymmetric unit:
Pm  0.0000  0.0000  0.2441 (multiplicity 6)  8 Hg 3.13-3.39
Ho  0.0000  0.0000  0.0000 (multiplicity 3)  8 Hg 3.13-3.38
Hg  0.0000  0.0000  0.1265 (multiplicity 6)  4 Pm 3.13-3.14, 1 Ho 3.38
Hg  0.0000  0.0000  0.3710 (multiplicity 6)  3 Ho 3.13, 4 Pm 3.27-3.39

Calculated values
E_form, meV per atom: -347.7
Distance to the lowest polymorph of the same formula, meV/atom: 0.0
Crystal system: trigonal

***

No. 7
A plane-wave DFT calculation with PBE-GGA was carried out for an optimized crystal structure of Pm2HoHg2.

a b c (Å): 8.5988 8.5988 3.9310
angles (deg): 90.00 90.00 90.00
Last column: nearest neighbours and their distance in Å.
Space group P4/mbm (No. 127)
Asymmetric unit:
Pm  0.1667  0.3333  0.0000 (multiplicity 4)  6 Hg 3.14-3.25
Ho  0.0000  0.0000  0.5000 (multiplicity 2)  4 Hg 3.36, 8 Pm 3.76
Hg  0.1325  0.6325  0.5000 (multiplicity 4)  6 Pm 3.14-3.25, 1 Hg 3.22, 2 Ho 3.36

Calculated values
E_form, meV per atom: -362.2
Distance to the lowest polymorph of the same formula, meV/atom: 9.2
Crystal system: tetragonal

***

No. 8
A plane-wave DFT calculation with PBE-GGA was carried out for an optimized crystal structure of Pm2HoHg7.

a b c (Å): 5.0039 5.0039 12.2990
angles (deg): 90.00 90.00 120.00
Last column: nearest neighbours and their distance in Å.
Space group P3m1 (No. 156)
Asymmetric unit:
Pm  0.0000  0.0000  0.0000 (multiplicity 1)  8 Hg 2.99-3.34
Pm  0.3333  0.6667  0.6753 (multiplicity 1)  7 Hg 3.06-3.36
Ho  0.6667  0.3333  0.3168 (multiplicity 1)  7 Hg 3.02-3.25
Hg  0.0000  0.0000  0.2450 (multiplicity 1)  1 Pm 3.01, 3 Ho 3.02, 4 Hg 3.12-3.22
Hg  0.0000  0.0000  0.4986 (multiplicity 1)  8 Hg 3.06-3.17
Hg  0.0000  0.0000  0.7565 (multiplicity 1)  4 Pm 2.99-3.06, 4 Hg 3.17-3.18
Hg  0.3333  0.6667  0.1302 (multiplicity 1)  4 Hg 3.22-3.34, 3 Pm 3.30
Hg  0.3333  0.6667  0.4019 (multiplicity 1)  3 Ho 3.07, 4 Hg 3.12-3.34, 1 Pm 3.36
Hg  0.6667  0.3333  0.5807 (multiplicity 1)  3 Hg 3.06, 3 Pm 3.11, 1 Ho 3.25
Hg  0.6667  0.3333  0.8645 (multiplicity 1)  4 Hg 3.18-3.49, 3 Pm 3.34

Calculated values
E_form, meV per atom: -305.0
Crystal system: trigonal